Entry from OQMD: an optimized crystal structure of LiSnOs2 (PBE).

Cell and atoms, written as POSCAR:
```
LiSnOs2
1.0
6.252 0.000 0.000
0.000 6.252 0.000
0.000 0.000 6.252
Li Sn Os
4 4 8
direct
0.000 0.000 0.000 Li
0.000 0.500 0.500 Li
0.500 0.000 0.500 Li
0.500 0.500 0.000 Li
0.250 0.250 0.750 Sn
0.250 0.750 0.250 Sn
0.750 0.250 0.250 Sn
0.750 0.750 0.750 Sn
0.000 0.000 0.500 Os
0.000 0.500 0.000 Os
0.250 0.250 0.250 Os
0.250 0.750 0.750 Os
0.500 0.000 0.000 Os
0.500 0.500 0.500 Os
0.750 0.250 0.750 Os
0.750 0.750 0.250 Os
```

Properties
Final energy (Ry/atom): -0.501
Space group: F-43m

Entry from OQMD: an optimized crystal structure of LiSn5Os3 (PBE).

Cell and atoms, written as POSCAR:
```
LiSn5Os3
1.0
5.482 0.000 0.000
-2.741 4.748 0.000
0.000 0.000 8.091
Li Sn Os
1 5 3
direct
0.000 0.000 0.000 Li
0.000 0.000 0.500 Sn
0.333 0.667 0.209 Sn
0.333 0.667 0.791 Sn
0.667 0.333 0.209 Sn
0.667 0.333 0.791 Sn
0.000 0.500 0.500 Os
0.500 0.000 0.500 Os
0.500 0.500 0.500 Os
```

Properties
Final energy (Ry/atom): -0.433
Space group: P6/mmm